Below is a geometry-optimized BaGa2Ni structure, with properties calculated at the PBE-GGA level.

```
BaGa2Ni
1.0
0.000 3.542 3.542
3.542 0.000 3.542
3.542 3.542 0.000
Ni Ba Ga
1 1 2
Cartesian
0.000 0.000 0.000 Ni
3.542 3.542 3.542 Ba
1.771 1.771 1.771 Ga
5.313 5.313 5.313 Ga
```

As for the space group: Fm-3m, No. 225. The size of the total moment comes out at 0.00 μB per atom. The theoretical density is 6.27 Mg/m³. The value obtained for the formation energy is 0.11 eV per atom.